1.
# PBE NdGaPbO4, optimized geometry
# - ρ: 6.3 Mg/m³
# - N(E_F): 0.000 states/eV/atom
# - E_form (uncorrected): -2.08 eV/atom
data_NdGaPbO4
_symmetry_space_group_name_H-M 'P 1 21/m 1'
_symmetry_Int_Tables_number 11
_symmetry_space_group_name_Hall '-P 2yb'
_cell_length_a 6.141
_cell_length_b 5.848
_cell_length_c 7.251
_cell_angle_alpha 90.00
_cell_angle_beta 99.03
_cell_angle_gamma 90.00
loop_
_atom_site_label
_atom_site_fract_x
_atom_site_fract_y
_atom_site_fract_z
_atom_site_occupancy
Nd1 0.192 0.250 0.087 1
Ga1 0.300 0.750 0.848 1
Pb1 0.312 0.250 0.641 1
O1 0.098 0.506 0.828 1
O2 0.473 0.750 0.084 1
O3 0.498 0.750 0.682 1

2.
# PBE Ta2Be16Fe, optimized geometry
# - Energy of formation: -0.21 eV per atom
# - ρ: 5.5 Mg/m³
# - N(E_F): 0.358 states/eV/atom
data_Ta2Be16Fe
_symmetry_space_group_name_H-M 'R 3 m'
_symmetry_Int_Tables_number 160
_symmetry_space_group_name_Hall 'R 3 -2"'
_cell_length_a 7.4282
_cell_length_b 7.4282
_cell_length_c 10.6801
_cell_angle_alpha 90.00
_cell_angle_beta 90.00
_cell_angle_gamma 120.00
loop_
_atom_site_label
_atom_site_fract_x
_atom_site_fract_y
_atom_site_fract_z
_atom_site_occupancy
Ta1 0.0000 0.0000 0.0000 1
Ta2 0.0000 0.0000 0.3202 1
Be1 0.0000 0.0000 0.5607 1
Be2 0.0002 0.2865 0.6661 1
Be3 0.0059 0.5029 0.8177 1
Be4 0.1676 0.3352 0.4966 1
Be5 0.1675 0.3351 0.8426 1
Fe1 0.0000 0.0000 0.7641 1

3.
# PBE CaHg2F4, optimized geometry
# - ρ: 6.2 Mg/m³
# - E_form (uncorrected): -2.18 eV/atom
data_CaHg2F4
_symmetry_space_group_name_H-M 'I 4/m m m'
_symmetry_Int_Tables_number 139
_symmetry_space_group_name_Hall '-I 4 2'
_cell_length_a 4.931
_cell_length_b 4.931
_cell_length_c 11.350
_cell_angle_alpha 90.00
_cell_angle_beta 90.00
_cell_angle_gamma 90.00
loop_
_atom_site_label
_atom_site_fract_x
_atom_site_fract_y
_atom_site_fract_z
_atom_site_occupancy
Ca1 0.000 0.000 0.000 1
Hg1 0.000 0.000 0.385 1
F1 0.000 0.000 0.195 1
F2 0.000 0.500 0.000 1